# ScCuP2 PBE-GGA relaxed
# SG: No. 139
# size of the total moment: 0.00 μB/atom
# crystal system: tetragonal
# ΔE_f: -1.117 eV/f.u.
data_ScCuP2
_cell_length_a 4.783
_cell_length_b 4.783
_cell_length_c 4.783
_cell_angle_alpha 131.18
_cell_angle_beta 131.18
_cell_angle_gamma 71.52
_symmetry_space_group_name_H-M 'P 1'
_symmetry_Int_Tables_number 1
_symmetry_space_group_name_Hall 'P 1'
loop_
_atom_site_label
_atom_site_type_symbol
_atom_site_fract_x
_atom_site_fract_y
_atom_site_fract_z
Cu1 Cu 0.750 0.250 0.500
P1 P 0.000 0.000 0.000
P2 P 0.500 0.500 0.000
Sc1 Sc 0.250 0.750 0.500